Here is crystalline HfZn4Au at its relaxed geometry from Alexandria. Energies are from GGA-PBE.

a = 4.347 Å, b = 4.347 Å, c = 5.967 Å
α = 90.00°, β = 90.00°, γ = 120.00°
Element x y z (fractional)
Au1 0.000 0.000 0.000
Zn1 0.667 0.333 0.249
Hf1 0.000 0.000 0.500
Zn2 0.333 0.667 0.751
Zn3 0.667 0.333 0.751
Zn4 0.333 0.667 0.249

Properties
The density of states at the Fermi level comes out at 2.1 states/eV per cell. As for the formation energy: -217 meV per atom. The calculation puts the excess energy over the best structure of this formula in the dataset at 0.000 eV/atom.

Here is crystalline Hf2Zn6Au at its relaxed geometry from Alexandria. Energies are from GGA-PBE.

a = 5.837 Å, b = 5.441 Å, c = 5.441 Å
α = 60.00°, β = 90.01°, γ = 90.01°
Element x y z (fractional)
Hf1 0.117 0.333 0.333
Zn1 0.666 0.178 0.643
Zn2 0.666 0.643 0.178
Zn3 0.334 0.822 0.822
Zn4 0.666 0.178 0.178
Zn5 0.334 0.822 0.357
Zn6 0.334 0.357 0.822
Hf2 0.883 0.667 0.667
Au1 0.000 0.000 0.000

Properties
The density of states at the Fermi level comes out at 7.6 states/eV per cell. As for the formation energy: -155 meV per atom.

Here is crystalline HfZn5Au6 at its relaxed geometry from Alexandria. Energies are from GGA-PBE.

a = 4.612 Å, b = 7.179 Å, c = 6.427 Å
α = 90.00°, β = 90.00°, γ = 72.48°
Element x y z (fractional)
Zn1 0.661 0.676 0.000
Au1 0.172 0.656 0.748
Au2 0.828 0.344 0.252
Zn2 0.339 0.324 0.000
Zn3 0.335 0.327 0.500
Au3 0.172 0.656 0.252
Hf1 0.000 0.000 0.000
Zn4 0.000 0.000 0.500
Au4 0.500 0.000 0.740
Au5 0.828 0.344 0.748
Zn5 0.665 0.673 0.500
Au6 0.500 0.000 0.260

Properties
The density of states at the Fermi level comes out at 3.3 states/eV per cell. As for the formation energy: -259 meV per atom.

Here is crystalline HfZn3Au at its relaxed geometry from Alexandria. Energies are from GGA-PBE.

a = 5.196 Å, b = 5.196 Å, c = 5.196 Å
α = 90.00°, β = 90.00°, γ = 90.00°
Element x y z (fractional)
Zn1 0.000 0.000 0.500
Hf1 0.000 0.000 0.000
Au1 0.500 0.500 0.500
Zn2 0.500 0.000 0.000
Zn3 0.000 0.500 0.000

Properties
The density of states at the Fermi level comes out at 5.5 states/eV per cell. As for the formation energy: 1108 meV per atom. The calculation puts the excess energy over the best structure of this formula in the dataset at 1.318 eV/atom.